a:
Density functional theory data (PBE-GGA) for a relaxed Tb7Nd2Sm3 crystal.

```
data_Tb7Nd2Sm3
_symmetry_space_group_name_H-M 'P 1'
_symmetry_Int_Tables_number 1
_cell_length_a 6.391
_cell_length_b 3.551
_cell_length_c 17.654
_cell_angle_alpha 90.00
_cell_angle_beta 96.19
_cell_angle_gamma 90.00
loop_
_symmetry_equiv_pos_as_xyz
'x,y,z'
loop_
_atom_site_label
_atom_site_type_symbol
_atom_site_fract_x
_atom_site_fract_y
_atom_site_fract_z
Tb1 Tb 0.000 0.000 0.000
Tb2 Tb 0.226 0.500 0.166
Tb3 Tb 0.255 0.500 0.499
Tb4 Tb 0.274 0.000 0.836
Tb5 Tb 0.726 0.000 0.164
Tb6 Tb 0.745 0.500 0.501
Tb7 Tb 0.774 0.500 0.834
Nd1 Nd 0.057 0.500 0.673
Nd2 Nd 0.943 0.500 0.327
Sm1 Sm 0.452 0.000 0.341
Sm2 Sm 0.500 0.500 0.000
Sm3 Sm 0.548 0.000 0.659
```

***

b:
Density functional theory data (PBE-GGA) for a relaxed Tb7Nd2Sm3 crystal.

```
data_Tb7Nd2Sm3
_symmetry_space_group_name_H-M 'P 1'
_symmetry_Int_Tables_number 1
_cell_length_a 5.864
_cell_length_b 3.603
_cell_length_c 18.941
_cell_angle_alpha 90.00
_cell_angle_beta 93.26
_cell_angle_gamma 90.00
loop_
_symmetry_equiv_pos_as_xyz
'x,y,z'
loop_
_atom_site_label
_atom_site_type_symbol
_atom_site_fract_x
_atom_site_fract_y
_atom_site_fract_z
Tb1 Tb 0.000 0.000 0.000
Tb2 Tb 0.187 0.500 0.174
Tb3 Tb 0.257 0.500 0.538
Tb4 Tb 0.314 0.000 0.858
Tb5 Tb 0.686 0.000 0.142
Tb6 Tb 0.743 0.500 0.462
Tb7 Tb 0.813 0.500 0.826
Nd1 Nd 0.291 0.500 0.707
Nd2 Nd 0.709 0.500 0.293
Sm1 Sm 0.221 0.000 0.369
Sm2 Sm 0.500 0.500 0.000
Sm3 Sm 0.779 0.000 0.631
```

***

Energy comparison, zero being the most stable, in kJ/mol of atoms: a 0.0; b 0.5.

***

a:
Density functional theory data (PBE-GGA) for a relaxed Tb7NdSm3 crystal.

```
data_Tb7NdSm3
_symmetry_space_group_name_H-M 'P 1'
_symmetry_Int_Tables_number 1
_cell_length_a 6.999
_cell_length_b 5.582
_cell_length_c 10.032
_cell_angle_alpha 90.00
_cell_angle_beta 110.10
_cell_angle_gamma 90.00
loop_
_symmetry_equiv_pos_as_xyz
'x,y,z'
loop_
_atom_site_label
_atom_site_type_symbol
_atom_site_fract_x
_atom_site_fract_y
_atom_site_fract_z
Tb1 Tb 0.000 0.000 0.000
Tb2 Tb 0.145 0.500 0.289
Tb3 Tb 0.321 0.500 0.640
Tb4 Tb 0.418 0.000 0.830
Tb5 Tb 0.582 0.000 0.170
Tb6 Tb 0.679 0.500 0.360
Tb7 Tb 0.855 0.500 0.711
Nd1 Nd 0.000 0.000 0.500
Sm1 Sm 0.281 0.500 0.999
Sm2 Sm 0.500 0.000 0.500
Sm3 Sm 0.719 0.500 0.001
```

***

b:
Density functional theory data (PBE-GGA) for a relaxed Tb7NdSm3 crystal.

```
data_Tb7NdSm3
_symmetry_space_group_name_H-M 'P 1'
_symmetry_Int_Tables_number 1
_cell_length_a 7.110
_cell_length_b 7.110
_cell_length_c 8.700
_cell_angle_alpha 90.00
_cell_angle_beta 90.00
_cell_angle_gamma 120.00
loop_
_symmetry_equiv_pos_as_xyz
'x,y,z'
loop_
_atom_site_label
_atom_site_type_symbol
_atom_site_fract_x
_atom_site_fract_y
_atom_site_fract_z
Tb1 Tb 0.000 0.000 0.000
Tb2 Tb 0.166 0.331 0.326
Tb3 Tb 0.166 0.834 0.326
Tb4 Tb 0.501 0.001 0.996
Tb5 Tb 0.501 0.499 0.996
Tb6 Tb 0.669 0.834 0.326
Tb7 Tb 0.999 0.499 0.996
Nd1 Nd 0.667 0.333 0.323
Sm1 Sm 0.333 0.166 0.663
Sm2 Sm 0.834 0.166 0.663
Sm3 Sm 0.834 0.667 0.663
```

***

Energy comparison, zero being the most stable, in kJ/mol of atoms: a 0.0; b 4.3.